1.
TaFe2Ru | PBE | relaxed

Cell: 3.164 4.190 4.198 Å, 90.00 90.00 90.00°
Space group Pmmm (No. 47)
Inequivalent atoms, fractional coordinates:
1 Ta 0.000 0.000 0.000 (multiplicity 1)
2 Fe 0.000 0.500 0.500 (multiplicity 1)
3 Fe 0.500 0.000 0.500 (multiplicity 1)
4 Ru 0.500 0.500 0.000 (multiplicity 1)

Output
The formation energy is -0.126 eV/atom.



2.
TaFeRu2 | PBE | relaxed

Cell: 3.132 4.259 8.786 Å, 90.00 90.00 90.00°
Space group Imm2 (No. 44)
Inequivalent atoms, fractional coordinates:
1 Ta 0.000 0.000 0.000 (multiplicity 2)
2 Fe 0.000 0.500 0.745 (multiplicity 2)
3 Ru 0.000 0.000 0.486 (multiplicity 2)
4 Ru 0.000 0.500 0.249 (multiplicity 2)

Output
The formation energy is -0.039 eV/atom.



3.
Ta3FeRu | PBE | relaxed

Cell: 4.731 4.731 4.731 Å, 90.00 90.00 90.00°
Space group Pm-3m (No. 221)
Inequivalent atoms, fractional coordinates:
1 Ta 0.000 0.000 0.500 (multiplicity 3)
2 Fe 0.500 0.500 0.500 (multiplicity 1)
3 Ru 0.000 0.000 0.000 (multiplicity 1)

Output
The formation energy is 1.566 eV/atom.



4.
TaFe2Ru | PBE | relaxed

Cell: 4.104 4.104 3.249 Å, 90.00 90.00 90.00°
Space group P4/mmm (No. 123)
Inequivalent atoms, fractional coordinates:
1 Ta 0.000 0.000 0.000 (multiplicity 1)
2 Fe 0.000 0.500 0.500 (multiplicity 2)
3 Ru 0.500 0.500 0.000 (multiplicity 1)

Output
The formation energy is -0.048 eV/atom.



5.
TaFeRu2 | PBE | relaxed

Cell: 2.7477 2.7477 26.1792 Å, 90.00 90.00 120.00°
Space group R3m (No. 160, hexagonal axes)
Inequivalent atoms, fractional coordinates:
1 Ta 0.0000 0.0000 0.0000 (multiplicity 3)
2 Fe 0.0000 0.0000 0.8337 (multiplicity 3)
3 Ru 0.0000 0.0000 0.4250 (multiplicity 3)
4 Ru 0.0000 0.0000 0.5744 (multiplicity 3)

Output
The formation energy is 0.142 eV/atom.



6.
TaFeRu2 | PBE | relaxed

Cell: 2.741 2.741 7.593 Å, 90.00 90.00 90.00°
Space group P4mm (No. 99)
Inequivalent atoms, fractional coordinates:
1 Ta 0.000 0.000 0.000 (multiplicity 1)
2 Fe 0.500 0.500 0.256 (multiplicity 1)
3 Ru 0.000 0.000 0.479 (multiplicity 1)
4 Ru 0.500 0.500 0.722 (multiplicity 1)

Output
The formation energy is 0.068 eV/atom.



7.
Ta4FeRu3 | PBE | relaxed

Cell: 4.437 4.437 12.786 Å, 90.00 90.00 90.00°
Space group I4/mmm (No. 139)
Inequivalent atoms, fractional coordinates:
1 Ta 0.000 0.500 0.121 (multiplicity 8)
2 Fe 0.000 0.000 0.000 (multiplicity 2)
3 Ru 0.000 0.000 0.250 (multiplicity 4)
4 Ru 0.000 0.000 0.500 (multiplicity 2)

Output
The formation energy is -0.276 eV/atom.



8.
Ta5FeRu6 | PBE | relaxed

Cell: 4.288 6.867 12.745 Å, 90.00 90.00 90.00°
Space group Immm (No. 71)
Inequivalent atoms, fractional coordinates:
1 Ta 0.000 0.000 0.000 (multiplicity 2)
2 Ta 0.000 0.000 0.359 (multiplicity 4)
3 Ta 0.000 0.500 0.319 (multiplicity 4)
4 Fe 0.000 0.500 0.000 (multiplicity 2)
5 Ru 0.000 0.235 0.167 (multiplicity 8)
6 Ru 0.000 0.278 0.500 (multiplicity 4)

Output
The formation energy is -0.313 eV/atom.



9.
TaFe2Ru | PBE | relaxed

Cell: 3.165 4.147 8.571 Å, 90.00 90.00 90.00°
Space group Immm (No. 71)
Inequivalent atoms, fractional coordinates:
1 Ta 0.000 0.000 0.000 (multiplicity 2)
2 Fe 0.000 0.500 0.249 (multiplicity 4)
3 Ru 0.000 0.000 0.500 (multiplicity 2)

Output
The formation energy is -0.092 eV/atom.



10.
TaFe2Ru | PBE | relaxed

Cell: 3.135 4.215 8.428 Å, 90.00 90.00 90.00°
Space group Imm2 (No. 44)
Inequivalent atoms, fractional coordinates:
1 Ta 0.000 0.000 0.000 (multiplicity 2)
2 Fe 0.000 0.000 0.493 (multiplicity 2)
3 Fe 0.000 0.500 0.755 (multiplicity 2)
4 Ru 0.000 0.500 0.246 (multiplicity 2)

Output
The formation energy is -0.079 eV/atom.



11.
TaFeRu2 | PBE | relaxed

Cell: 2.7800 2.7800 26.3957 Å, 90.00 90.00 120.00°
Space group R-3m (No. 166, hexagonal axes)
Inequivalent atoms, fractional coordinates:
1 Ta 0.0000 0.0000 0.0000 (multiplicity 3)
2 Fe 0.0000 0.0000 0.5000 (multiplicity 3)
3 Ru 0.0000 0.0000 0.2452 (multiplicity 6)

Output
The formation energy is 0.133 eV/atom.



12.
TbTaFeRu | PBE | relaxed

Cell: 6.467 6.467 6.467 Å, 90.00 90.00 90.00°
Space group F-43m (No. 216)
Inequivalent atoms, fractional coordinates:
1 Tb 0.000 0.000 0.000 (multiplicity 4)
2 Ta 0.000 0.000 0.500 (multiplicity 4)
3 Fe 0.250 0.250 0.750 (multiplicity 4)
4 Ru 0.250 0.250 0.250 (multiplicity 4)

Output
The formation energy is -0.076 eV/atom.



13.
TmTaFeRu | PBE | relaxed

Cell: 6.409 6.409 6.409 Å, 90.00 90.00 90.00°
Space group F-43m (No. 216)
Inequivalent atoms, fractional coordinates:
1 Tm 0.000 0.000 0.000 (multiplicity 4)
2 Ta 0.000 0.000 0.500 (multiplicity 4)
3 Fe 0.250 0.250 0.250 (multiplicity 4)
4 Ru 0.250 0.250 0.750 (multiplicity 4)

Output
The formation energy is -0.209 eV/atom.



14.
TbFeRu | PBE | relaxed

Cell: 5.172 5.394 7.403 Å, 90.00 90.00 90.00°
Space group Imma (No. 74)
Inequivalent atoms, fractional coordinates:
1 Tb 0.000 0.250 0.126 (multiplicity 4)
2 Fe 0.250 0.250 0.750 (multiplicity 4)
3 Ru 0.000 0.000 0.500 (multiplicity 4)

Output
The formation energy is -0.213 eV/atom.